Below is InAg6Au after structural relaxation, with properties calculated at the GGA-PBE level.

Results
**Distance to the lowest polymorph of the same formula**: 0 meV/atom
**Volume**: 18.38 Å³ per atom
**E_tot**: -2.936 eV/atom
**Energy of formation from the pure elements**: -4.39 kJ/mol of atoms
**Fermi-level density of states**: 0.7 states/eV/f.u.

Cell: 4.8697 5.9041 5.9041 Å, 119.99 90.00 90.00°
With the nearest neighbours (Å) after each atom.
Element x y z (fractional)
In 0.0000 0.0834 0.9166  12 Ag 2.95-2.98
Ag 0.0000 0.0828 0.4162  8 Ag 2.95-2.97, 2 In 2.95, 2 Au 2.97
Ag 0.0000 0.5838 0.9172  8 Ag 2.95-2.97, 2 In 2.95, 2 Au 2.97
Ag 0.0000 0.5839 0.4161  8 Ag 2.95-2.97, 2 In 2.95, 2 Au 2.98
Ag 0.5000 0.4187 0.0846  8 Ag 2.93-2.97, 2 Au 2.95, 2 In 2.98
Ag 0.5000 0.9154 0.5813  8 Ag 2.93-2.97, 2 Au 2.95, 2 In 2.98
Ag 0.5000 0.9153 0.0847  8 Ag 2.93-2.97, 2 Au 2.95, 2 In 2.98
Au 0.5000 0.4165 0.5835  12 Ag 2.95-2.98


Below is LaInSe2Br after structural relaxation, with properties calculated at the GGA-PBE level.

Results
**Distance to the lowest polymorph of the same formula**: 195 meV/atom
**Volume**: 30.34 Å³ per atom
**E_tot**: -3.993 eV/atom
**Fermi-level density of states**: 6.3 states/eV/f.u.

Cell: 5.3532 5.3532 5.2934 Å, 90.00 90.00 90.00°
With the nearest neighbours (Å) after each atom.
Element x y z (fractional)
In 0.0000 0.0000 0.0000  2 Br 2.65, 4 Se 2.68
Se 0.0000 0.5000 0.0000  2 In 2.68
Se 0.5000 0.0000 0.0000  2 In 2.68
Br 0.0000 0.0000 0.5000  2 In 2.65
La 0.5000 0.5000 0.5000  8 Se 3.76, 4 Br 3.79


Below is DyTlAu2 after structural relaxation, with properties calculated at the GGA-PBE level.

Results
**Volume**: 25.88 Å³ per atom
**E_tot**: -3.819 eV/atom
**Energy of formation from the pure elements**: -42.30 kJ/mol of atoms
**Fermi-level density of states**: 2.7 states/eV/f.u.

Cell: 4.1411 4.1411 7.3681 Å, 73.68 73.68 60.00°
With the nearest neighbours (Å) after each atom.
Element x y z (fractional)
Tl 0.0000 0.0000 0.0000  6 Au 2.97
Au 0.2490 0.2490 0.2529  3 Dy 2.95, 3 Tl 2.97
Au 0.7510 0.7510 0.7471  3 Dy 2.95, 3 Tl 2.97
Dy 0.5000 0.5000 0.5000  6 Au 2.95


Below is Ac2RhSe after structural relaxation, with properties calculated at the GGA-PBE level.

Results
**Distance to the lowest polymorph of the same formula**: 355 meV/atom
**Volume**: 27.51 Å³ per atom
**E_tot**: -5.670 eV/atom
**Fermi-level density of states**: 4.3 states/eV/f.u.

Cell: 5.3791 5.3791 5.3791 Å, 60.00 60.00 60.00°
With the nearest neighbours (Å) after each atom.
Element x y z (fractional)
Ac 0.2500 0.2500 0.2500  4 Se 3.29, 4 Rh 3.29
Ac 0.7500 0.7500 0.7500  4 Se 3.29, 4 Rh 3.29
Rh 0.5000 0.5000 0.5000  8 Ac 3.29
Se 0.0000 0.0000 0.0000  8 Ac 3.29


Below is TiV4Sn after structural relaxation, with properties calculated at the GGA-PBE level.

Results
**Volume**: 15.37 Å³ per atom
**E_tot**: -8.056 eV/atom
**Energy of formation from the pure elements**: 0.60 kJ/mol of atoms
**Fermi-level density of states**: 8.4 states/eV/f.u.

Cell: 5.0717 5.0717 5.0717 Å, 60.00 60.00 60.00°
With the nearest neighbours (Å) after each atom.
Element x y z (fractional)
Ti 0.0000 0.0000 0.0000  12 V 2.97, 4 Sn 3.11
Sn 0.2500 0.2500 0.2500  12 V 2.98, 4 Ti 3.11
V 0.6273 0.6273 0.1181  6 V 2.49-2.58
V 0.6273 0.1181 0.6273  6 V 2.49-2.58
V 0.6273 0.6273 0.6273  6 V 2.49-2.58
V 0.1181 0.6273 0.6273  6 V 2.49-2.58


Below is Sb3RhCl after structural relaxation, with properties calculated at the GGA-PBE level.

Results
**Distance to the lowest polymorph of the same formula**: 0 meV/atom
**Volume**: 28.00 Å³ per atom
**E_tot**: -4.071 eV/atom
**Fermi-level density of states**: 7.9 states/eV/f.u.

Cell: 5.1927 5.1927 5.1927 Å, 90.00 90.00 90.00°
With the nearest neighbours (Å) after each atom.
Element x y z (fractional)
Sb 0.0000 0.5000 0.0000  2 Rh 2.60
Sb 0.0000 0.0000 0.5000  2 Rh 2.60
Sb 0.5000 0.0000 0.0000  2 Rh 2.60
Rh 0.0000 0.0000 0.0000  6 Sb 2.60
Cl 0.5000 0.5000 0.5000  12 Sb 3.67


Below is UV2Ga after structural relaxation, with properties calculated at the GGA-PBE level.

Results
**Distance to the lowest polymorph of the same formula**: 67 meV/atom
**Volume**: 15.61 Å³ per atom
**E_tot**: -8.106 eV/atom
**Energy of formation from the pure elements**: 3.13 kJ/mol of atoms
**Fermi-level density of states**: 4.2 states/eV/f.u.

Cell: 4.4533 4.4533 4.4533 Å, 60.00 60.00 60.00°
With the nearest neighbours (Å) after each atom.
Element x y z (fractional)
U 0.0000 0.0000 0.0000  8 V 2.73
Ga 0.5000 0.5000 0.5000  8 V 2.73
V 0.2500 0.2500 0.2500  4 U 2.73, 4 Ga 2.73
V 0.7500 0.7500 0.7500  4 Ga 2.73, 4 U 2.73


Below is NbFeNi3 after structural relaxation, with properties calculated at the GGA-PBE level.

Results
**Distance to the lowest polymorph of the same formula**: 0 meV/atom
**Volume**: 15.05 Å³ per atom
**E_tot**: -6.241 eV/atom
**Energy of formation from the pure elements**: 90.17 kJ/mol of atoms
**Fermi-level density of states**: 6.7 states/eV/f.u.

Cell: 4.2214 4.2214 4.2214 Å, 90.00 90.00 90.00°
With the nearest neighbours (Å) after each atom.
Element x y z (fractional)
Ni 0.0000 0.5000 0.0000  2 Fe 2.11
Ni 0.0000 0.0000 0.5000  2 Fe 2.11
Ni 0.5000 0.0000 0.0000  2 Fe 2.11
Nb 0.5000 0.5000 0.5000  12 Ni 2.98
Fe 0.0000 0.0000 0.0000  6 Ni 2.11


Below is LiAcMg2Ga4 after structural relaxation, with properties calculated at the GGA-PBE level.

Results
**Volume**: 21.67 Å³ per atom
**E_tot**: -2.972 eV/atom
**Energy of formation from the pure elements**: -29.60 kJ/mol of atoms
**Fermi-level density of states**: 2.8 states/eV/f.u.

Cell: 4.6846 4.6846 9.5161 Å, 75.75 75.75 60.00°
With the nearest neighbours (Å) after each atom.
Element x y z (fractional)
Li 0.5000 0.5000 0.5000  8 Ga 2.72-2.89
Ac 0.0000 0.0000 0.0000  8 Ga 3.27-3.55
Mg 0.7629 0.7629 0.7112  7 Ga 2.82-2.94
Mg 0.2371 0.2371 0.2888  7 Ga 2.82-2.94
Ga 0.4005 0.4005 0.7985  1 Li 2.72, 3 Mg 2.82
Ga 0.8702 0.8702 0.3893  4 Mg 2.86-2.94, 3 Li 2.89
Ga 0.1298 0.1298 0.6107  4 Mg 2.86-2.94, 3 Li 2.89
Ga 0.5995 0.5995 0.2015  1 Li 2.72, 3 Mg 2.82


Below is Tm5In4 after structural relaxation, with properties calculated at the GGA-PBE level.

Results
**Volume**: 26.62 Å³ per atom
**E_tot**: -4.113 eV/atom
**Energy of formation from the pure elements**: -39.72 kJ/mol of atoms
**Fermi-level density of states**: 6.1 states/eV/f.u.

Cell: 9.1751 9.1751 6.5713 Å, 90.00 90.00 120.00°
With the nearest neighbours (Å) after each atom.
Element x y z (fractional)
Tm 0.3333 0.6667 0.5000  8 Tm 3.29-3.66, 6 In 3.33
Tm 0.6667 0.3333 0.5000  8 Tm 3.29-3.66, 6 In 3.33
Tm 0.6667 0.3333 0.0000  8 Tm 3.29-3.66, 6 In 3.33
Tm 0.3333 0.6667 0.0000  8 Tm 3.29-3.66, 6 In 3.33
Tm 0.2914 0.0000 0.7500  7 In 3.09-3.37
Tm 0.7086 0.0000 0.2500  7 In 3.09-3.37
Tm 0.0000 0.2914 0.7500  7 In 3.09-3.37
Tm 0.0000 0.7086 0.2500  7 In 3.09-3.37
Tm 0.7086 0.7086 0.7500  7 In 3.09-3.37
Tm 0.2914 0.2914 0.2500  7 In 3.09-3.37
In 0.0000 0.0000 0.5000  6 Tm 3.14, 2 In 3.29
In 0.0000 0.0000 0.0000  6 Tm 3.14, 2 In 3.29
In 0.6286 0.0000 0.7500  9 Tm 3.09-3.37
In 0.3714 0.0000 0.2500  9 Tm 3.09-3.37
In 0.0000 0.6286 0.7500  9 Tm 3.09-3.37
In 0.0000 0.3714 0.2500  9 Tm 3.09-3.37
In 0.3714 0.3714 0.7500  9 Tm 3.09-3.37
In 0.6286 0.6286 0.2500  9 Tm 3.09-3.37